# 1
Cd2BiAu2 | PBE-GGA | relaxed

a = 8.2222 Å, b = 8.2222 Å, c = 3.2881 Å
α = 90.00°, β = 90.00°, γ = 90.00°
Closest atoms and distances in Å follow each position.
Space group P4/mbm (No. 127)
Symmetry-distinct sites (fractional):
Cd 0.1608 0.3392 0.0000 [4 per cell]  6 Au 2.89-2.94
Bi 0.0000 0.0000 0.5000 [2 per cell]  4 Au 3.20, 2 Bi 3.29, 8 Cd 3.50
Au 0.1344 0.6344 0.5000 [4 per cell]  6 Cd 2.89-2.94, 1 Au 3.13, 2 Bi 3.20

## Properties
Size of the total moment = 0.0 μB per cell
Energy above the lowest structure with this stoichiometry = 0.000 eV per atom
Uncorrected energy = -2.551 eV/atom

---

# 2
Cd2BiAu6 | PBE-GGA | relaxed

a = 3.3971 Å, b = 7.8258 Å, c = 14.2827 Å
α = 90.00°, β = 90.00°, γ = 90.00°
Closest atoms and distances in Å follow each position.
Space group Immm (No. 71)
Symmetry-distinct sites (fractional):
Cd 0.0000 0.0000 0.1445 [4 per cell]  10 Au 2.90-3.06
Bi 0.0000 0.5000 0.0000 [2 per cell]  12 Au 3.06-3.38, 2 Bi 3.40
Au 0.0000 0.1814 0.3212 [8 per cell]  4 Au 2.79-2.86, 3 Cd 2.90-3.06
Au 0.0000 0.3249 0.5000 [4 per cell]  3 Au 2.74-2.79, 4 Cd 3.00, 2 Bi 3.06

## Properties
Size of the total moment = 0.0 μB per cell
Uncorrected energy = -2.862 eV/atom

---

# 3
Cd5BiAu6 | PBE-GGA | relaxed

a = 8.5886 Å, b = 14.2979 Å, c = 4.8239 Å
α = 90.00°, β = 123.96°, γ = 90.00°
Closest atoms and distances in Å follow each position.
Space group C2/m (No. 12)
Symmetry-distinct sites (fractional):
Cd 0.0000 0.0000 0.0000 [2 per cell]  8 Au 2.88-3.00
Cd 0.0000 0.1711 0.5000 [4 per cell]  8 Au 2.91-2.93
Cd 0.0000 0.3416 0.0000 [4 per cell]  8 Au 2.91-3.08
Bi 0.0000 0.5000 0.5000 [2 per cell]  8 Au 3.12-3.13, 4 Cd 3.31
Au 0.2224 0.0000 0.7234 [4 per cell]  6 Cd 2.88-3.01, 2 Bi 3.12, 1 Au 3.17
Au 0.2342 0.1747 0.2331 [8 per cell]  7 Cd 2.91-3.08, 1 Bi 3.13, 2 Au 3.23-3.25

## Properties
Size of the total moment = 0.0 μB per cell
Uncorrected energy = -2.464 eV/atom

---

# 4
CdBi2Au | PBE-GGA | relaxed

a = 3.4655 Å, b = 3.4655 Å, c = 32.7939 Å
α = 90.00°, β = 90.00°, γ = 120.00°
Closest atoms and distances in Å follow each position.
Space group R-3m (No. 166, hexagonal axes)
Symmetry-distinct sites (fractional):
Cd 0.0000 0.0000 0.0000 [3 per cell]  2 Bi 3.17, 6 Cd 3.47
Bi 0.0000 0.0000 0.0965 [6 per cell]  3 Au 3.05, 1 Cd 3.17
Au 0.0000 0.0000 0.5000 [3 per cell]  6 Bi 3.05

## Properties
Size of the total moment = 0.0 μB per cell
Uncorrected energy = -2.863 eV/atom

---

# 5
Cd2BiAu | PBE-GGA | relaxed

a = 4.5322 Å, b = 4.5322 Å, c = 4.5892 Å
α = 90.00°, β = 90.00°, γ = 90.00°
Closest atoms and distances in Å follow each position.
Space group P4/mmm (No. 123)
Symmetry-distinct sites (fractional):
Cd 0.0000 0.5000 0.0000 [2 per cell]  4 Cd 3.20, 4 Bi 3.22, 4 Au 3.22
Bi 0.0000 0.0000 0.5000 [1 per cell]  4 Au 3.20, 8 Cd 3.22
Au 0.5000 0.5000 0.5000 [1 per cell]  4 Bi 3.20, 8 Cd 3.22

## Properties
Size of the total moment = 0.0 μB per cell
Uncorrected energy = -2.228 eV/atom

---

# 6
Cd3BiAu3 | PBE-GGA | relaxed

a = 7.5759 Å, b = 7.5759 Å, c = 7.5759 Å
α = 90.00°, β = 90.00°, γ = 90.00°
Closest atoms and distances in Å follow each position.
Space group Pm-3n (No. 223)
Symmetry-distinct sites (fractional):
Cd 0.0000 0.2500 0.5000 [6 per cell]  4 Au 2.68
Bi 0.0000 0.0000 0.0000 [2 per cell]  12 Cd 4.24, 12 Au 4.24
Au 0.0000 0.5000 0.2500 [6 per cell]  4 Cd 2.68

## Properties
Size of the total moment = 0.0 μB per cell
Uncorrected energy = -1.959 eV/atom

---

# 7
Cd5BiAu3 | PBE-GGA | relaxed

a = 3.4849 Å, b = 15.5552 Å, c = 15.0624 Å
α = 90.00°, β = 90.00°, γ = 90.00°
Closest atoms and distances in Å follow each position.
Space group Cmcm (No. 63)
Symmetry-distinct sites (fractional):
Cd 0.0000 0.0000 0.0000 [4 per cell]  4 Au 2.93, 6 Cd 2.99-3.14
Cd 0.0000 0.1934 0.0593 [8 per cell]  4 Au 2.87-3.02, 5 Cd 3.05-3.18
Cd 0.0000 0.4515 0.6534 [8 per cell]  3 Au 2.86-2.89, 5 Cd 2.91-3.18
Bi 0.0000 0.1783 0.7500 [4 per cell]  6 Au 3.01-3.11
Au 0.0000 0.1636 0.2500 [4 per cell]  6 Cd 2.89-2.91, 2 Bi 3.01
Au 0.0000 0.3756 0.0885 [8 per cell]  6 Cd 2.86-3.02, 2 Bi 3.11

## Properties
Size of the total moment = 0.0 μB per cell
Uncorrected energy = -2.108 eV/atom

---

# 8
Cd8BiAu2 | PBE-GGA | relaxed

a = 9.0313 Å, b = 11.1159 Å, c = 5.5118 Å
α = 90.00°, β = 97.03°, γ = 90.00°
Closest atoms and distances in Å follow each position.
Space group C2/m (No. 12)
Symmetry-distinct sites (fractional):
Cd 0.0000 0.2165 0.0000 [4 per cell]  2 Au 2.79, 2 Cd 3.09
Cd 0.1626 0.0000 0.8029 [4 per cell]  2 Au 2.87, 2 Cd 3.09, 1 Bi 3.11
Cd 0.2089 0.3653 0.6456 [8 per cell]  2 Au 2.86-2.88, 2 Cd 2.99-3.16
Bi 0.0000 0.5000 0.0000 [2 per cell]  8 Cd 3.11-3.24
Au 0.0000 0.1775 0.5000 [4 per cell]  8 Cd 2.79-2.88

## Properties
Size of the total moment = 0.0 μB per cell
Uncorrected energy = -1.656 eV/atom

---

# 9
CdBi3Au3 | PBE-GGA | relaxed

a = 8.5416 Å, b = 8.5416 Å, c = 17.3716 Å
α = 90.00°, β = 90.00°, γ = 120.00°
Closest atoms and distances in Å follow each position.
Space group R-3 (No. 148, hexagonal axes)
Symmetry-distinct sites (fractional):
Cd 0.0000 0.0000 0.1447 [6 per cell]  6 Au 2.89-2.92
Bi 0.0070 0.7589 0.5952 [18 per cell]  5 Au 2.91-3.25
Au 0.0236 0.6001 0.4270 [18 per cell]  2 Cd 2.89-2.92, 4 Bi 2.91-3.14, 1 Au 2.97

## Properties
Size of the total moment = 0.0 μB per cell
Uncorrected energy = -3.236 eV/atom

---

# 10
CdBi2Au3 | PBE-GGA | relaxed

a = 10.1219 Å, b = 10.6526 Å, c = 5.5697 Å
α = 90.00°, β = 90.00°, γ = 90.00°
Closest atoms and distances in Å follow each position.
Space group Cmcm (No. 63)
Symmetry-distinct sites (fractional):
Cd 0.0000 0.2490 0.2500 [4 per cell]  4 Au 3.00-3.15, 4 Bi 3.33
Bi 0.1540 0.3377 0.7500 [8 per cell]  4 Au 2.83-3.09, 1 Bi 3.12
Au 0.0000 0.0000 0.0000 [4 per cell]  6 Au 2.78-2.96, 2 Cd 3.00
Au 0.2416 0.0856 0.7500 [8 per cell]  4 Bi 2.83-3.09, 2 Au 2.96, 1 Cd 3.15

## Properties
Size of the total moment = 0.0 μB per cell
Uncorrected energy = -3.060 eV/atom

---

# 11
Cd12BiAu6 | PBE-GGA | relaxed

a = 13.0736 Å, b = 13.0736 Å, c = 8.8934 Å
α = 90.00°, β = 90.00°, γ = 120.00°
Closest atoms and distances in Å follow each position.
Space group R-3m (No. 166, hexagonal axes)
Symmetry-distinct sites (fractional):
Cd 0.0000 0.3816 0.0000 [18 per cell]  4 Au 2.88-2.92, 5 Cd 2.99-3.16
Cd 0.0840 0.1679 0.7780 [18 per cell]  4 Au 2.85-3.15, 2 Cd 2.99, 1 Bi 3.12
Bi 0.0000 0.0000 0.5000 [3 per cell]  6 Cd 3.12
Au 0.0711 0.5355 0.7423 [18 per cell]  8 Cd 2.85-3.15

## Properties
Size of the total moment = 0.0 μB per cell
Uncorrected energy = -1.897 eV/atom

---

# 12
Cd2BiAu2 | PBE-GGA | relaxed

a = 3.9744 Å, b = 3.9744 Å, c = 15.0299 Å
α = 90.00°, β = 90.00°, γ = 90.00°
Closest atoms and distances in Å follow each position.
Space group I4/mmm (No. 139)
Symmetry-distinct sites (fractional):
Cd 0.0000 0.0000 0.1075 [4 per cell]  4 Au 2.92, 1 Cd 3.23, 4 Bi 3.24
Bi 0.0000 0.0000 0.5000 [2 per cell]  8 Cd 3.24
Au 0.0000 0.5000 0.2500 [4 per cell]  4 Au 2.81, 4 Cd 2.92

## Properties
Size of the total moment = 0.0 μB per cell
Energy above the lowest structure with this stoichiometry = 0.095 eV per atom
Uncorrected energy = -2.456 eV/atom

---

size of the total moment of number 11 (Cd12BiAu6)? 0.0 μB per cell

---

Which value of uncorrected energy does entry 11 give? -1.897 eV/atom

---

What is the formula in the third record? Cd5BiAu6